[1]
Material: SnTeH4
Method: DFT, GGA-PBE
State: optimized geometry

Lattice parameters (Å, degrees): 4.9655 7.8719 7.9070 60.15 76.22 61.42
Fractional coordinates of all 12 atoms:
Sn 0.2500 0.0778 0.8445
Te 0.7500 0.3651 0.2698
H 0.2828 0.1240 0.0515
H 0.7828 0.1756 0.9485
Te 0.2500 0.6349 0.7302
H 0.0138 0.1649 0.4455
H 0.5138 0.6104 0.5545
H 0.9862 0.8351 0.5545
Sn 0.7500 0.9222 0.1555
H 0.7172 0.8760 0.9485
H 0.2172 0.8244 0.0515
H 0.4862 0.3896 0.4455

Calculated values
For the total DFT energy (no corrections), the calculation gives -3.14 eV/atom. The total magnetization is 0.000 Bohr magnetons per cell. Its symmetry is C2/c, No. 15. As for the density of states at the Fermi level: 0.000 states/eV/atom.

---

[2]
Material: BeNbAs
Method: DFT, GGA-PBE
State: optimized geometry

Lattice parameters (Å, degrees): 5.1088 5.1842 7.7577 90.00 120.61 90.00
Fractional coordinates of all 12 atoms:
Be 0.8444 0.1681 0.4774
As 0.0765 0.4370 0.7598
Be 0.3444 0.3319 0.4774
Be 0.6556 0.6681 0.5226
As 0.4235 0.9370 0.2402
Be 0.1556 0.8319 0.5226
Nb 0.1353 0.9322 0.8479
As 0.5765 0.0630 0.7598
Nb 0.8647 0.0678 0.1521
As 0.9235 0.5630 0.2402
Nb 0.6353 0.5678 0.8479
Nb 0.3647 0.4322 0.1521

Calculated values
For the total DFT energy (no corrections), the calculation gives -6.34 eV/atom. The total magnetization is 0.000 Bohr magnetons per cell. Its symmetry is P2_1/c, No. 14. As for the density of states at the Fermi level: 0.476 states/eV/atom. Its formation energy is -191 meV/atom.

---

[3]
Material: PmPa5P6
Method: DFT, GGA-PBE
State: optimized geometry

Lattice parameters (Å, degrees): 6.9096 6.9128 6.9112 59.99 80.40 70.52
Fractional coordinates of all 12 atoms:
Pa 0.5000 0.8362 0.3276
Pa 0.5000 0.5000 0.0000
P 0.2537 0.9153 0.6614
P 0.7463 0.0847 0.3386
P 0.2537 0.5766 0.3386
P 0.2512 0.2552 0.0000
P 0.7463 0.4234 0.6614
Pa 0.0000 0.3330 0.3340
Pa 0.0000 0.6670 0.6660
Pa 0.5000 0.1638 0.6724
Pm 0.0000 0.0000 0.0000
P 0.7488 0.7448 0.0000

Calculated values
For the total DFT energy (no corrections), the calculation gives -8.42 eV/atom. The total magnetization is 0.000 Bohr magnetons per cell. Its symmetry is C2/m, No. 12. As for the density of states at the Fermi level: 0.967 states/eV/atom. Its formation energy is -1359 meV/atom.

---

[4]
Material: ThMg5Cd2
Method: DFT, GGA-PBE
State: optimized geometry

Lattice parameters (Å, degrees): 3.3673 7.7768 7.7768 76.08 77.50 77.50
Fractional coordinates of all 8 atoms:
Mg 0.3658 0.4108 0.8576
Cd 0.7493 0.7507 0.7508
Cd 0.2507 0.2492 0.2492
Mg 0.3658 0.8576 0.4108
Mg 0.6342 0.1424 0.5892
Mg 0.6342 0.5892 0.1424
Th 0.0000 0.0000 0.0000
Mg 0.0000 0.5000 0.5000

Calculated values
For the total DFT energy (no corrections), the calculation gives -2.23 eV/atom. The total magnetization is 0.000 Bohr magnetons per cell. Its symmetry is Immm, No. 71. As for the density of states at the Fermi level: 0.463 states/eV/atom. Its formation energy is -80 meV/atom.